First-principles (PBE with a Hubbard U) data for an optimized crystal structure of MgZnNi2O4, as listed in the Alexandria database.

```
data_MgZnNi2O4
_chemical_formula_sum 'Mg1 Zn1 Ni2 O4'
_cell_length_a 3.015
_cell_length_b 5.203
_cell_length_c 5.212
_cell_angle_alpha 70.47
_cell_angle_beta 90.00
_cell_angle_gamma 90.00
_symmetry_space_group_name_H-M 'P 1'
_symmetry_Int_Tables_number 1
loop_
_symmetry_equiv_pos_as_xyz
'x,y,z'
loop_
_atom_site_label
_atom_site_fract_x
_atom_site_fract_y
_atom_site_fract_z
Ni1 0.500 0.000 0.500
Ni2 0.000 0.000 0.000
O1 0.500 0.250 0.747
O2 0.000 0.246 0.254
O3 0.000 0.754 0.746
O4 0.500 0.750 0.253
Mg1 0.000 0.500 0.500
Zn1 0.500 0.500 0.000
```

Output
The uncorrected energy is -40.18 eV per cell. Its space group is P2/m (10).